This record from Alexandria via LeMat-Bulk describes crystalline Ca2Gd2MnNiO8 at its relaxed geometry. The functional is PBE+U.

Unit cell a=6.4350 b=6.4350 c=5.5811 alpha=90.50 beta=90.50 gamma=48.70
Sites, in units of the cell vectors:
Ca1 0.0000 0.0000 0.0000
Ca2 0.2093 0.2093 0.5113
Gd1 0.4933 0.4933 0.5424
Gd2 0.7161 0.7161 0.0502
Mn1 0.3529 0.3529 0.0263
Ni1 0.8549 0.8549 0.5267
O1 0.0268 0.0268 0.5912
O2 0.0848 0.5769 0.7874
O3 0.1321 0.6233 0.2636
O4 0.1918 0.1918 0.0879
O5 0.5264 0.5264 0.9543
O6 0.5769 0.0848 0.7874
O7 0.6233 0.1321 0.2636
O8 0.6742 0.6742 0.4469

Properties
Size of the total moment ... 3.000 μB/cell
DFT total energy ... -116.1 eV per cell